Compound: Co4Si2O
Source: the Alexandria database
Functional: PBE+U
Structure: optimized geometry

crystal system = tetragonal
total energy = -34.031 eV/f.u.

abc: 6.635 6.635 6.635
angles: 146.22 146.22 48.53
Atoms (fractional coordinates):
Co  0.000  0.500  0.500
Co  0.176  0.176  0.000
Co  0.500  0.000  0.500
Co  0.824  0.824  0.000
Si  0.367  0.367  0.000
Si  0.633  0.633  0.000
O  0.000  0.000  0.000